Below is MnSn2F6 after structural relaxation, with properties calculated at the PBE+U level.

It has space group C2/c (No. 15), with a = 11.455 Å, b = 11.121 Å, c = 5.757 Å, α = 90.00°, β = 105.88° and γ = 90.00°. The distinct sites, in fractional coordinates, are Mn at (0.000, 0.084, 0.250), Sn at (0.223, 0.375, 0.257), F at (0.121, 0.013, 0.062), F at (0.126, 0.213, 0.421) and F at (0.152, 0.456, 0.515).

For the electronic total energy, the calculation gives -5.343 eV per atom. As for the total moment: 19.99 μB per cell.